The following is a DFT calculation (GGA+U) of a relaxed structure of NpCo2PbO8.

Summary:
The space group is P2/m. The crystal system is monoclinic. Its energy is -82.571 eV/cell. The total magnetization comes out at 1.02 μB per formula unit. The value obtained for the density of states at the Fermi level is 3.99 states/eV/cell.

abc: 4.6996 4.6603 6.4095
angles: 90.00 90.00 90.94
Fractional coordinates of all 12 atoms:
O 0.2063 0.7774 0.2349
O 0.6784 0.6915 0.0000
Pb 0.0000 0.0000 0.5000
O 0.7938 0.2226 0.2349
O 0.7937 0.2226 0.7651
O 0.3216 0.3085 0.0000
Co 0.5000 0.5000 0.2511
O 0.2062 0.7774 0.7651
O 0.6628 0.6857 0.5000
O 0.3372 0.3143 0.5000
Co 0.5000 0.5000 0.7489
Np 0.0000 0.0000 0.0000